Entry 1:
Compound: Rb3Tb2NdSe6
Source: Alexandria via LeMat-Bulk
Functional: PBE
Structure: optimized geometry

Values from the calculation:
**Energy**: -58.7 eV for the cell shown
**SG**: C2/m

Cell lengths 7.4475, 7.4475, 8.3838 Å; angles 98.52, 98.52, 120.00 degrees
Fractional positions:
Rb 0.0000 0.0000 0.0000
Rb 0.3346 0.6654 0.0000
Rb 0.6654 0.3346 0.0000
Tb 0.1668 0.8332 0.5000
Tb 0.8332 0.1668 0.5000
Nd 0.5000 0.5000 0.5000
Se 0.0938 0.4339 0.3021
Se 0.2257 0.2257 0.6976
Se 0.4339 0.0938 0.3021
Se 0.5661 0.9062 0.6979
Se 0.7743 0.7743 0.3024
Se 0.9062 0.5661 0.6979

---

Entry 2:
Compound: Rb4NdTh3Se8
Source: Alexandria via LeMat-Bulk
Functional: PBE
Structure: optimized geometry

Values from the calculation:
**Energy**: -83.9 eV for the cell shown
**SG**: R-3m

Cell lengths 9.5330, 9.5330, 9.5330 Å; angles 53.53, 53.53, 53.53 degrees
Fractional positions:
Rb 0.0000 0.0000 0.0000
Rb 0.0000 0.5000 0.5000
Rb 0.5000 0.0000 0.5000
Rb 0.5000 0.5000 0.0000
Nd 0.5000 0.5000 0.5000
Th 0.0000 0.0000 0.5000
Th 0.0000 0.5000 0.0000
Th 0.5000 0.0000 0.0000
Se 0.2311 0.7374 0.7374
Se 0.2355 0.2355 0.2355
Se 0.2626 0.2626 0.7689
Se 0.2626 0.7689 0.2626
Se 0.7374 0.2311 0.7374
Se 0.7374 0.7374 0.2311
Se 0.7645 0.7645 0.7645
Se 0.7689 0.2626 0.2626

---

Entry 3:
Compound: Rb3NdTh3Se8
Source: Alexandria via LeMat-Bulk
Functional: PBE
Structure: optimized geometry

Values from the calculation:
**Energy**: -82.2 eV for the cell shown
**SG**: R-3m

Cell lengths 9.5823, 9.5823, 9.5823 Å; angles 53.03, 53.03, 53.03 degrees
Fractional positions:
Rb 0.0000 0.5000 0.5000
Rb 0.5000 0.0000 0.5000
Rb 0.5000 0.5000 0.0000
Nd 0.5000 0.5000 0.5000
Th 0.0000 0.0000 0.5000
Th 0.0000 0.5000 0.0000
Th 0.5000 0.0000 0.0000
Se 0.2279 0.7364 0.7364
Se 0.2351 0.2351 0.2351
Se 0.2636 0.2636 0.7721
Se 0.2636 0.7721 0.2636
Se 0.7364 0.2279 0.7364
Se 0.7364 0.7364 0.2279
Se 0.7649 0.7649 0.7649
Se 0.7721 0.2636 0.2636

---

Entry 4:
Compound: Rb3Nd3TiSe8
Source: Alexandria via LeMat-Bulk
Functional: PBE
Structure: optimized geometry

Values from the calculation:
**Energy**: -76.4 eV for the cell shown
**SG**: R-3m

Cell lengths 9.5268, 9.5268, 9.5268 Å; angles 52.58, 52.58, 52.58 degrees
Fractional positions:
Rb 0.0000 0.5000 0.5000
Rb 0.5000 0.0000 0.5000
Rb 0.5000 0.5000 0.0000
Nd 0.0000 0.0000 0.5000
Nd 0.0000 0.5000 0.0000
Nd 0.5000 0.0000 0.0000
Ti 0.5000 0.5000 0.5000
Se 0.2344 0.2344 0.2344
Se 0.2624 0.7111 0.7111
Se 0.2889 0.2889 0.7376
Se 0.2889 0.7376 0.2889
Se 0.7111 0.2624 0.7111
Se 0.7111 0.7111 0.2624
Se 0.7376 0.2889 0.2889
Se 0.7656 0.7656 0.7656

---

Repeat the first record exactly.
Compound: Rb3Tb2NdSe6
Source: Alexandria via LeMat-Bulk
Functional: PBE
Structure: optimized geometry

Values from the calculation:
**Energy**: -58.7 eV for the cell shown
**SG**: C2/m

Cell lengths 7.4475, 7.4475, 8.3838 Å; angles 98.52, 98.52, 120.00 degrees
Fractional positions:
Rb 0.0000 0.0000 0.0000
Rb 0.3346 0.6654 0.0000
Rb 0.6654 0.3346 0.0000
Tb 0.1668 0.8332 0.5000
Tb 0.8332 0.1668 0.5000
Nd 0.5000 0.5000 0.5000
Se 0.0938 0.4339 0.3021
Se 0.2257 0.2257 0.6976
Se 0.4339 0.0938 0.3021
Se 0.5661 0.9062 0.6979
Se 0.7743 0.7743 0.3024
Se 0.9062 0.5661 0.6979